Record 1
This record from Alexandria describes a relaxed Li2CuAg crystal. The functional is PBE.

Theoretical density in g/cm³: 5.2
Energy of formation from the pure elements in kcal/mol of atoms: -1.9

abc: 6.178 4.747 2.777
angles: 89.92 63.42 121.32
Atoms (fractional coordinates):
Li 0.000 0.000 0.000
Li 0.500 0.000 0.500
Ag 0.000 0.500 0.500
Cu 0.500 0.500 0.000

Record 2
This record from Alexandria describes a relaxed Na2CaMgCl6 crystal. The functional is PBE.

Theoretical density in g/cm³: 1.9
Formation energy from raw total energies in eV per atom: -1.90

abc: 5.430 7.297 7.297
angles: 90.00 90.00 90.00
Atoms (fractional coordinates):
Cl 0.167 0.500 0.500
Cl 0.201 0.000 0.000
Cl 0.720 0.761 0.761
Cl 0.720 0.239 0.761
Cl 0.720 0.761 0.239
Cl 0.720 0.239 0.239
Mg 0.637 0.000 0.000
Ca 0.655 0.500 0.500
Na 0.953 0.500 0.000
Na 0.953 0.000 0.500

Record 3
This record from Alexandria describes a relaxed MgCdSn crystal. The functional is PBE.

Theoretical density in g/cm³: 5.9
Energy of formation from the pure elements in kcal/mol of atoms: -0.5

abc: 5.723 6.410 4.536
angles: 89.83 66.90 72.12
Atoms (fractional coordinates):
Mg 0.612 0.774 0.063
Mg 0.952 0.421 0.394
Cd 0.616 0.289 0.062
Cd 0.302 0.597 0.718
Sn 0.283 0.107 0.728
Sn 0.944 0.913 0.397

Record 4
This record from Alexandria describes a relaxed AcYEr14 crystal. The functional is PBE.

Theoretical density in g/cm³: 8.7
Energy of formation from the pure elements in kcal/mol of atoms: 0.3

abc: 7.229 7.229 11.240
angles: 90.00 90.00 119.99
Atoms (fractional coordinates):
Er 0.335 0.665 0.745
Er 0.335 0.665 0.255
Er 0.831 0.666 0.256
Er 0.834 0.166 0.749
Er 0.831 0.666 0.744
Er 0.667 0.333 0.500
Er 0.334 0.169 0.256
Er 0.666 0.832 0.000
Er 0.334 0.169 0.744
Er 0.167 0.833 0.500
Er 0.834 0.166 0.251
Er 0.667 0.833 0.500
Er 0.167 0.333 0.500
Er 0.168 0.334 0.000
Y 0.666 0.334 0.000
Ac 0.166 0.834 0.000

Record 5
This record from Alexandria describes a relaxed BeZnRu2 crystal. The functional is PBE.

Theoretical density in g/cm³: 9.2
Energy of formation from the pure elements in kcal/mol of atoms: 0.0

abc: 4.852 4.852 4.112
angles: 64.93 64.93 35.02
Atoms (fractional coordinates):
Ru 0.018 0.018 0.981
Ru 0.252 0.252 0.248
Be 0.749 0.749 0.751
Zn 0.480 0.480 0.519

Record 6
This record from Alexandria describes a relaxed Sm5Te5S2 crystal. The functional is PBE.

Theoretical density in g/cm³: 6.5
Formation energy from raw total energies in eV per atom: -1.60

abc: 4.262 7.455 12.684
angles: 105.42 90.00 106.61
Atoms (fractional coordinates):
Sm 0.106 0.211 0.399
Sm 0.324 0.648 0.199
Sm 0.000 0.000 0.000
Sm 0.676 0.352 0.801
Sm 0.894 0.789 0.601
S 0.959 0.919 0.206
S 0.041 0.081 0.794
Te 0.249 0.498 0.645
Te 0.500 0.000 0.500
Te 0.334 0.668 0.946
Te 0.751 0.502 0.355
Te 0.666 0.332 0.054

Record 7
This record from Alexandria describes a relaxed ReSi2Se crystal. The functional is PBE.

Theoretical density in g/cm³: 7.9
Formation energy from raw total energies in eV per atom: 0.26

abc: 8.886 8.886 8.886
angles: 19.42 19.42 19.42
Atoms (fractional coordinates):
Si 0.245 0.245 0.245
Si 0.985 0.985 0.985
Re 0.503 0.503 0.503
Se 0.767 0.767 0.767

Record 8
This record from Alexandria describes a relaxed ZrTcIr2 crystal. The functional is PBE.

Theoretical density in g/cm³: 14.8
Energy of formation from the pure elements in kcal/mol of atoms: -1.7
Polymorph energy (0 for the lowest one) in eV per atom: 0.388

abc: 9.438 9.438 9.438
angles: 17.20 17.20 17.20
Atoms (fractional coordinates):
Ir 0.506 0.506 0.506
Ir 0.994 0.994 0.994
Tc 0.250 0.250 0.250
Zr 0.750 0.750 0.750

Record 9
This record from Alexandria describes a relaxed Sc2Co12Ge7 crystal. The functional is PBE.

Theoretical density in g/cm³: 7.9
Energy of formation from the pure elements in kcal/mol of atoms: -7.3

abc: 3.677 9.280 9.280
angles: 120.00 90.00 90.00
Site moments in Bohr magnetons follow the coordinates.
Atoms (fractional coordinates):
Sc 0.000 0.667 0.333  -0.03
Sc 0.500 0.000 0.000  -0.03
Ge 0.000 0.051 0.790  -0.01
Ge 0.500 0.450 0.077  -0.01
Ge 0.500 0.627 0.550  -0.01
Ge 0.500 0.923 0.373  -0.01
Ge 0.000 0.333 0.667  -0.02
Ge 0.000 0.739 0.949  -0.01
Ge 0.000 0.210 0.261  -0.01
Co 0.000 0.280 0.052  0.06
Co 0.000 0.051 0.541  0.13
Co 0.500 0.903 0.616  0.00
Co 0.500 0.233 0.787  0.42
Co 0.000 0.489 0.949  0.13
Co 0.000 0.772 0.720  0.06
Co 0.500 0.555 0.767  0.42
Co 0.500 0.384 0.286  0.00
Co 0.000 0.948 0.228  0.06
Co 0.000 0.459 0.511  0.13
Co 0.500 0.213 0.445  0.42
Co 0.500 0.714 0.097  0.00

Record 10
This record from Alexandria describes a relaxed TcAg2Au crystal. The functional is PBE.

Theoretical density in g/cm³: 12.5
Energy of formation from the pure elements in kcal/mol of atoms: 7.4
Polymorph energy (0 for the lowest one) in eV per atom: 0.026

abc: 9.726 9.726 9.726
angles: 16.89 16.89 16.89
Site moments in Bohr magnetons follow the coordinates.
Atoms (fractional coordinates):
Tc 0.751 0.751 0.751  0.41
Ag 0.002 0.002 0.002  0.01
Ag 0.250 0.250 0.250  -0.01
Au 0.497 0.497 0.497  0.01

Record 11
This record from Alexandria describes a relaxed YZr2P crystal. The functional is PBE.

Theoretical density in g/cm³: 5.9
Energy of formation from the pure elements in kcal/mol of atoms: -1.4

abc: 4.932 4.932 4.932
angles: 60.00 60.00 60.00
Site moments in Bohr magnetons follow the coordinates.
Atoms (fractional coordinates):
Y 0.250 0.250 0.250  0.09
P 0.500 0.500 0.500  -0.01
Zr 0.750 0.750 0.750  0.26
Zr 0.000 0.000 0.000  0.65

Record 12
This record from Alexandria describes a relaxed Sm3In4Hg2 crystal. The functional is PBE.

Theoretical density in g/cm³: 9.2
Energy of formation from the pure elements in kcal/mol of atoms: -10.4
Polymorph energy (0 for the lowest one) in eV per atom: 0.000

abc: 4.933 6.214 9.371
angles: 113.98 90.00 113.38
Atoms (fractional coordinates):
Hg 0.371 0.741 0.702
Hg 0.629 0.259 0.298
In 0.963 0.927 0.631
In 0.037 0.073 0.369
In 0.726 0.452 0.063
In 0.274 0.548 0.937
Sm 0.669 0.338 0.662
Sm 0.331 0.662 0.338
Sm 0.000 0.000 0.000

Record 13
This record from Alexandria describes a relaxed Ce4US10 crystal. The functional is PBE.

Theoretical density in g/cm³: 5.3
Formation energy from raw total energies in eV per atom: -1.71

abc: 6.543 8.007 8.007
angles: 80.39 65.89 65.89
Site moments in Bohr magnetons follow the coordinates.
Atoms (fractional coordinates):
S 0.657 0.294 0.904  -0.04
S 0.343 0.706 0.096  -0.04
S 0.049 0.096 0.294  -0.04
S 0.855 0.706 0.096  -0.04
S 0.951 0.904 0.706  -0.04
S 0.439 0.904 0.706  -0.04
S 0.250 0.500 0.500  -0.03
S 0.750 0.500 0.500  -0.03
S 0.145 0.294 0.904  -0.04
S 0.561 0.096 0.294  -0.04
Ce 0.401 0.799 0.399  0.35
Ce 0.599 0.201 0.601  0.35
Ce 0.800 0.601 0.799  0.35
Ce 0.200 0.399 0.201  0.35
U 0.000 0.000 0.000  1.35

Record 14
This record from Alexandria describes a relaxed Nd2GeAs3Rh4 crystal. The functional is PBE.

Theoretical density in g/cm³: 9.0
Energy of formation from the pure elements in kcal/mol of atoms: -21.2

abc: 4.261 4.261 10.153
angles: 90.00 90.00 90.00
Atoms (fractional coordinates):
Rh 0.500 0.500 0.000
Rh 0.000 0.000 0.000
Rh 0.000 0.500 0.375
Rh 0.500 0.000 0.625
As 0.000 0.500 0.136
As 0.000 0.000 0.500
As 0.500 0.000 0.864
Ge 0.500 0.500 0.500
Nd 0.000 0.500 0.746
Nd 0.500 0.000 0.254

Record 15
This record from Alexandria describes a relaxed Nd3HoPb2C crystal. The functional is PBE.

Theoretical density in g/cm³: 8.3
Energy of formation from the pure elements in kcal/mol of atoms: -11.7

abc: 4.864 5.018 9.048
angles: 106.10 105.59 90.00
Atoms (fractional coordinates):
Nd 0.840 0.840 0.681
Nd 0.000 0.500 0.000
Nd 0.160 0.160 0.319
Pb 0.360 0.360 0.721
Pb 0.640 0.640 0.279
Ho 0.500 0.000 0.000
C 0.000 0.000 0.000

Record 16
This record from Alexandria describes a relaxed Cs2BaErF6 crystal. The functional is PBE.

Theoretical density in g/cm³: 4.8
Formation energy from raw total energies in eV per atom: -3.29

abc: 6.624 7.532 9.567
angles: 90.00 90.00 90.00
Site moments in Bohr magnetons follow the coordinates.
Atoms (fractional coordinates):
Cs 0.500 0.816 0.767  0.01
Cs 0.000 0.184 0.733  0.01
Cs 0.500 0.816 0.233  0.01
Cs 0.000 0.184 0.267  0.01
Ba 0.000 0.689 0.500  0.06
Ba 0.500 0.311 0.000  0.06
F 0.275 0.608 0.000  0.01
F 0.225 0.392 0.500  0.01
F 0.000 0.779 0.230  0.00
F 0.500 0.221 0.730  0.00
F 0.500 0.221 0.270  0.00
F 0.222 0.988 0.000  0.00
F 0.278 0.012 0.500  0.00
F 0.778 0.988 0.000  0.00
F 0.000 0.779 0.770  0.00
F 0.725 0.608 0.000  0.01
F 0.775 0.392 0.500  0.01
F 0.722 0.012 0.500  0.00
Er 0.500 0.233 0.500  0.01
Er 0.000 0.767 0.000  0.01

Record 17
This record from Alexandria describes a relaxed Tl2P2Au crystal. The functional is PBE.

Theoretical density in g/cm³: 9.4
Energy of formation from the pure elements in kcal/mol of atoms: 1.6
Polymorph energy (0 for the lowest one) in eV per atom: 0.000

abc: 6.374 6.374 5.782
angles: 90.00 90.00 90.00
Atoms (fractional coordinates):
P 0.880 0.620 0.000
P 0.380 0.880 0.000
P 0.120 0.380 0.000
P 0.620 0.120 0.000
Tl 0.316 0.184 0.500
Tl 0.184 0.684 0.500
Tl 0.816 0.316 0.500
Tl 0.684 0.816 0.500
Au 0.000 0.000 0.000
Au 0.500 0.500 0.000

Record 18
This record from Alexandria describes a relaxed KIn2Te crystal. The functional is PBE.

Theoretical density in g/cm³: 5.1
Formation energy from raw total energies in eV per atom: -0.26

abc: 6.232 6.232 6.232
angles: 132.58 132.58 69.32
Atoms (fractional coordinates):
In 0.250 0.750 0.500
In 0.000 0.000 0.000
Te 0.750 0.250 0.500
K 0.500 0.500 0.000

Record 19
This record from Alexandria describes a relaxed Sc2TlSn2 crystal. The functional is PBE.

Theoretical density in g/cm³: 6.7
Energy of formation from the pure elements in kcal/mol of atoms: -3.5
Polymorph energy (0 for the lowest one) in eV per atom: 0.210

abc: 4.144 4.144 8.168
angles: 75.30 75.30 90.00
Site moments in Bohr magnetons follow the coordinates.
Atoms (fractional coordinates):
Sn 0.750 0.250 0.500  0.01
Sn 0.250 0.750 0.500  0.01
Tl 0.000 0.000 0.000  0.01
Sc 0.398 0.398 0.204  0.14
Sc 0.602 0.602 0.796  0.14

Record 20
This record from Alexandria describes a relaxed NaLaGdCd crystal. The functional is PBE.

Theoretical density in g/cm³: 5.9
Energy of formation from the pure elements in kcal/mol of atoms: -0.4

abc: 5.553 5.553 5.553
angles: 60.00 60.00 60.00
Site moments in Bohr magnetons follow the coordinates.
Atoms (fractional coordinates):
Gd 0.500 0.500 0.500  7.29
Cd 0.750 0.750 0.750  0.01
Na 0.250 0.250 0.250  0.01
La 0.000 0.000 0.000  0.18